1.
# Mg2TaAl

A geometry-optimized Mg2TaAl structure (PBE, Alexandria via LeMat-Bulk).

Cell: 4.7298 4.7298 4.7298 Å, 60.00 60.00 60.00°
With the nearest neighbours (Å) after each atom.
Fractional coordinates of all 4 atoms:
Ta: 0.5000 0.5000 0.5000  8 Mg 2.90
Mg: 0.7500 0.7500 0.7500  4 Ta 2.90, 4 Al 2.90
Mg: 0.2500 0.2500 0.2500  4 Ta 2.90, 4 Al 2.90
Al: 0.0000 0.0000 0.0000  8 Mg 2.90

## Properties
Total magnetization   0.00 μB/f.u.
Energy   -16.9 eV for the cell shown
Energy relative to the lowest polymorph listed for this composition   432 meV/atom

2.
# Mg2TaAl

A geometry-optimized Mg2TaAl structure (PBE, Alexandria via LeMat-Bulk).

Cell: 7.6271 7.6271 6.0533 Å, 50.95 50.95 90.00°
With the nearest neighbours (Å) after each atom.
Fractional coordinates of all 8 atoms:
Mg: 0.8750 0.8527 0.7500  2 Al 2.67, 2 Mg 2.77, 2 Ta 2.90
Mg: 0.3750 0.3973 0.7500  2 Al 2.67, 2 Mg 2.77, 2 Ta 2.90
Mg: 0.6027 0.1250 0.2500  2 Al 2.67, 2 Mg 2.77, 2 Ta 2.90
Mg: 0.1473 0.6250 0.2500  2 Al 2.67, 2 Mg 2.77, 2 Ta 2.90
Ta: 0.7500 0.2500 0.5000  2 Al 2.75, 4 Mg 2.90
Ta: 0.0000 0.0000 0.0000  2 Al 2.75, 4 Mg 2.90
Al: 0.5000 0.5000 0.0000  4 Mg 2.67, 2 Ta 2.75
Al: 0.2500 0.7500 0.5000  4 Mg 2.67, 2 Ta 2.75

## Properties
Total magnetization   0.00 μB/f.u.
Energy   -32.7 eV for the cell shown
Energy relative to the lowest polymorph listed for this composition   569 meV/atom

| no. | energy of formation (eV per atom) |
| --- | --- |
| 1 | 0.48 |
| 2 | 0.61 |